Record 1
Compound: EuTmGaIr
Source: the Alexandria database
Functional: PBE-GGA
Structure: relaxed

Geometry as CIF:
```
data_EuTmGaIr
_chemical_formula_sum 'Eu4 Tm4 Ga4 Ir4'
_cell_length_a 7.037
_cell_length_b 7.037
_cell_length_c 7.037
_cell_angle_alpha 90.00
_cell_angle_beta 90.00
_cell_angle_gamma 90.00
_space_group_name_H-M_alt 'F -4 3 m'
_space_group_IT_number 216
_space_group_name_Hall 'F -4 2 3'
loop_
_atom_site_label
_atom_site_type_symbol
_atom_site_fract_x
_atom_site_fract_y
_atom_site_fract_z
_atom_site_occupancy
Eu1 Eu 0.000 0.000 0.000 1
Tm1 Tm 0.000 0.000 0.500 1
Ga1 Ga 0.250 0.250 0.250 1
Ir1 Ir 0.250 0.250 0.750 1
```

Summary:
- energy relative to the elements (eV per atom) = -0.50
- crystal system = cubic

Record 2
Compound: TeF6
Source: the Alexandria database
Functional: PBE-GGA
Structure: relaxed

Geometry as CIF:
```
data_TeF6
_chemical_formula_sum 'Te3 F18'
_cell_length_a 5.3400
_cell_length_b 5.3400
_cell_length_c 14.3795
_cell_angle_alpha 90.00
_cell_angle_beta 90.00
_cell_angle_gamma 120.00
_space_group_name_H-M_alt 'R -3'
_space_group_IT_number 148
_space_group_name_Hall '-R 3'
loop_
_atom_site_label
_atom_site_type_symbol
_atom_site_fract_x
_atom_site_fract_y
_atom_site_fract_z
_atom_site_occupancy
Te1 Te 0.0000 0.0000 0.0000 1
F1 F 0.0116 0.7209 0.0749 1
```

Summary:
- formation energy (no corrections) (eV/atom) = -2.019
- crystal system = trigonal

Record 3
Compound: SrSmZn2Pd2
Source: the Alexandria database
Functional: PBE-GGA
Structure: relaxed

Geometry as CIF:
```
data_SrSmZn2Pd2
_chemical_formula_sum 'Sr1 Sm1 Zn2 Pd2'
_cell_length_a 4.4513
_cell_length_b 4.4513
_cell_length_c 8.0427
_cell_angle_alpha 90.00
_cell_angle_beta 90.00
_cell_angle_gamma 120.00
_space_group_name_H-M_alt 'P -3 m 1'
_space_group_IT_number 164
_space_group_name_Hall '-P 3 2"'
loop_
_atom_site_label
_atom_site_type_symbol
_atom_site_fract_x
_atom_site_fract_y
_atom_site_fract_z
_atom_site_occupancy
Sr1 Sr 0.0000 0.0000 0.0000 1
Sm1 Sm 0.0000 0.0000 0.5000 1
Zn1 Zn 0.3333 0.6667 0.2743 1
Pd1 Pd 0.3333 0.6667 0.7171 1
```

Summary:
- energy relative to the elements (eV per atom) = -0.62
- crystal system = trigonal

Record 4
Compound: La2InRh
Source: the Alexandria database
Functional: PBE-GGA
Structure: relaxed

Geometry as CIF:
```
data_La2InRh
_chemical_formula_sum 'La4 In2 Rh2'
_cell_length_a 4.254
_cell_length_b 5.641
_cell_length_c 9.136
_cell_angle_alpha 90.00
_cell_angle_beta 90.00
_cell_angle_gamma 90.00
_space_group_name_H-M_alt 'I m m m'
_space_group_IT_number 71
_space_group_name_Hall '-I 2 2'
loop_
_atom_site_label
_atom_site_type_symbol
_atom_site_fract_x
_atom_site_fract_y
_atom_site_fract_z
_atom_site_occupancy
La1 La 0.000 0.000 0.205 1
In1 In 0.000 0.500 0.000 1
Rh1 Rh 0.000 0.500 0.500 1
```

Summary:
- energy relative to the elements (eV per atom) = -0.52
- crystal system = orthorhombic

Record 5
Compound: AsPI2O
Source: the Alexandria database
Functional: PBE-GGA
Structure: relaxed

Geometry as CIF:
```
data_AsPI2O
_chemical_formula_sum 'As1 P1 I2 O1'
_cell_length_a 5.667
_cell_length_b 5.667
_cell_length_c 3.540
_cell_angle_alpha 90.00
_cell_angle_beta 90.00
_cell_angle_gamma 90.00
_space_group_name_H-M_alt 'P 4/m m m'
_space_group_IT_number 123
_space_group_name_Hall '-P 4 2'
loop_
_atom_site_label
_atom_site_type_symbol
_atom_site_fract_x
_atom_site_fract_y
_atom_site_fract_z
_atom_site_occupancy
As1 As 0.000 0.000 0.000 1
P1 P 0.500 0.500 0.500 1
I1 I 0.000 0.500 0.500 1
O1 O 0.500 0.500 0.000 1
```

Summary:
- formation energy (no corrections) (eV/atom) = 0.159
- energy relative to the lowest polymorph listed for this composition (meV/atom) = 0
- crystal system = tetragonal

Record 6
Compound: MgPb3
Source: the Alexandria database
Functional: PBE-GGA
Structure: relaxed

Geometry as CIF:
```
data_MgPb3
_chemical_formula_sum 'Mg1 Pb3'
_cell_length_a 3.551
_cell_length_b 3.551
_cell_length_c 9.219
_cell_angle_alpha 90.00
_cell_angle_beta 90.00
_cell_angle_gamma 90.00
_space_group_name_H-M_alt 'P 4/m m m'
_space_group_IT_number 123
_space_group_name_Hall '-P 4 2'
loop_
_atom_site_label
_atom_site_type_symbol
_atom_site_fract_x
_atom_site_fract_y
_atom_site_fract_z
_atom_site_occupancy
Mg1 Mg 0.000 0.000 0.000 1
Pb1 Pb 0.000 0.000 0.500 1
Pb2 Pb 0.500 0.500 0.229 1
```

Summary:
- energy relative to the elements (eV per atom) = -0.02
- crystal system = tetragonal

Record 7
Compound: K2HW
Source: the Alexandria database
Functional: PBE-GGA
Structure: relaxed

Geometry as CIF:
```
data_K2HW
_chemical_formula_sum 'K8 H4 W4'
_cell_length_a 12.248
_cell_length_b 12.248
_cell_length_c 3.539
_cell_angle_alpha 90.00
_cell_angle_beta 90.00
_cell_angle_gamma 90.00
_space_group_name_H-M_alt 'I -4 2 d'
_space_group_IT_number 122
_space_group_name_Hall 'I -4 2bw'
loop_
_atom_site_label
_atom_site_type_symbol
_atom_site_fract_x
_atom_site_fract_y
_atom_site_fract_z
_atom_site_occupancy
K1 K 0.066 0.750 0.125 1
H1 H 0.000 0.000 0.000 1
W1 W 0.000 0.000 0.500 1
```

Summary:
- energy relative to the lowest polymorph listed for this composition (meV/atom) = 0
- crystal system = tetragonal

Record 8
Compound: TmScBi2
Source: the Alexandria database
Functional: PBE-GGA
Structure: relaxed

Geometry as CIF:
```
data_TmScBi2
_chemical_formula_sum 'Tm3 Sc3 Bi6'
_cell_length_a 4.3497
_cell_length_b 4.3497
_cell_length_c 21.3189
_cell_angle_alpha 90.00
_cell_angle_beta 90.00
_cell_angle_gamma 120.00
_space_group_name_H-M_alt 'R -3 m'
_space_group_IT_number 166
_space_group_name_Hall '-R 3 2"'
loop_
_atom_site_label
_atom_site_type_symbol
_atom_site_fract_x
_atom_site_fract_y
_atom_site_fract_z
_atom_site_occupancy
Tm1 Tm 0.0000 0.0000 0.0000 1
Sc1 Sc 0.0000 0.0000 0.5000 1
Bi1 Bi 0.0000 0.0000 0.2462 1
```

Summary:
- energy relative to the elements (eV per atom) = -0.72
- energy relative to the lowest polymorph listed for this composition (meV/atom) = 0
- crystal system = trigonal

Record 9
Compound: PmFeRh2
Source: the Alexandria database
Functional: PBE-GGA
Structure: relaxed

Geometry as CIF:
```
data_PmFeRh2
_chemical_formula_sum 'Pm3 Fe3 Rh6'
_cell_length_a 4.2405
_cell_length_b 4.2405
_cell_length_c 14.6591
_cell_angle_alpha 90.00
_cell_angle_beta 90.00
_cell_angle_gamma 120.00
_space_group_name_H-M_alt 'R -3 m'
_space_group_IT_number 166
_space_group_name_Hall '-R 3 2"'
loop_
_atom_site_label
_atom_site_type_symbol
_atom_site_fract_x
_atom_site_fract_y
_atom_site_fract_z
_atom_site_occupancy
Pm1 Pm 0.0000 0.0000 0.0000 1
Fe1 Fe 0.0000 0.0000 0.5000 1
Rh1 Rh 0.0000 0.0000 0.2082 1
```

Summary:
- energy relative to the elements (eV per atom) = -0.27
- crystal system = trigonal

Record 10
Compound: BaCd3Pb
Source: the Alexandria database
Functional: PBE-GGA
Structure: relaxed

Geometry as CIF:
```
data_BaCd3Pb
_chemical_formula_sum 'Ba1 Cd3 Pb1'
_cell_length_a 6.226
_cell_length_b 6.226
_cell_length_c 6.226
_cell_angle_alpha 90.00
_cell_angle_beta 90.00
_cell_angle_gamma 90.00
_space_group_name_H-M_alt 'P m -3 m'
_space_group_IT_number 221
_space_group_name_Hall '-P 4 2 3'
loop_
_atom_site_label
_atom_site_type_symbol
_atom_site_fract_x
_atom_site_fract_y
_atom_site_fract_z
_atom_site_occupancy
Ba1 Ba 0.000 0.000 0.000 1
Cd1 Cd 0.000 0.000 0.500 1
Pb1 Pb 0.500 0.500 0.500 1
```

Summary:
- energy relative to the elements (eV per atom) = 0.72
- energy relative to the lowest polymorph listed for this composition (meV/atom) = 1033
- crystal system = cubic

Record 11
Compound: Na2AcH8Os
Source: the Alexandria database
Functional: PBE-GGA
Structure: relaxed

Geometry as CIF:
```
data_Na2AcH8Os
_chemical_formula_sum 'Na2 Ac1 H8 Os1'
_cell_length_a 4.9159
_cell_length_b 4.9159
_cell_length_c 6.6526
_cell_angle_alpha 90.00
_cell_angle_beta 90.00
_cell_angle_gamma 120.00
_space_group_name_H-M_alt 'P -3 m 1'
_space_group_IT_number 164
_space_group_name_Hall '-P 3 2"'
loop_
_atom_site_label
_atom_site_type_symbol
_atom_site_fract_x
_atom_site_fract_y
_atom_site_fract_z
_atom_site_occupancy
Na1 Na 0.3333 0.6667 0.3705 1
Ac1 Ac 0.0000 0.0000 0.0000 1
H1 H 0.1591 0.3183 0.6600 1
H2 H 0.3333 0.6667 0.0271 1
Os1 Os 0.0000 0.0000 0.5000 1
```

Summary:
- final energy (eV per cell) = -47.38
- crystal system = trigonal

Record 12
Compound: BaRe2Ru
Source: the Alexandria database
Functional: PBE-GGA
Structure: relaxed

Geometry as CIF:
```
data_BaRe2Ru
_chemical_formula_sum 'Ba2 Re4 Ru2'
_cell_length_a 7.637
_cell_length_b 4.410
_cell_length_c 6.548
_cell_angle_alpha 90.00
_cell_angle_beta 112.79
_cell_angle_gamma 90.00
_space_group_name_H-M_alt 'C 1 2/m 1'
_space_group_IT_number 12
_space_group_name_Hall '-C 2y'
loop_
_atom_site_label
_atom_site_type_symbol
_atom_site_fract_x
_atom_site_fract_y
_atom_site_fract_z
_atom_site_occupancy
Ba1 Ba 0.000 0.000 0.000 1
Re1 Re 0.186 0.000 0.557 1
Ru1 Ru 0.000 0.500 0.500 1
```

Summary:
- energy relative to the elements (eV per atom) = 0.58
- energy relative to the lowest polymorph listed for this composition (meV/atom) = 0
- crystal system = monoclinic

Record 13
Compound: Cs3YCd
Source: the Alexandria database
Functional: PBE-GGA
Structure: relaxed

Geometry as CIF:
```
data_Cs3YCd
_chemical_formula_sum 'Cs3 Y1 Cd1'
_cell_length_a 7.273
_cell_length_b 7.273
_cell_length_c 7.273
_cell_angle_alpha 90.00
_cell_angle_beta 90.00
_cell_angle_gamma 90.00
_space_group_name_H-M_alt 'P m -3 m'
_space_group_IT_number 221
_space_group_name_Hall '-P 4 2 3'
loop_
_atom_site_label
_atom_site_type_symbol
_atom_site_fract_x
_atom_site_fract_y
_atom_site_fract_z
_atom_site_occupancy
Cs1 Cs 0.000 0.000 0.500 1
Y1 Y 0.500 0.500 0.500 1
Cd1 Cd 0.000 0.000 0.000 1
```

Summary:
- energy relative to the elements (eV per atom) = 0.63
- crystal system = cubic